A plane-wave DFT calculation with SCAN was carried out for a crystal of Si2Se relaxed with PBEsol.

Computed properties:
The magnetization comes out at 0.000 μB per atom. As for the total energy: -12.21 eV per atom. Its polymorph energy (0 for the lowest one) is 82 meV/atom. The calculation puts the formation energy without anion corrections at 1165 meV/atom.

The structure in POSCAR format:
```
Si2Se
1.0
6.405 0.000 0.000
0.000 6.405 0.000
0.000 0.000 3.276
Si Se
4 2
direct
0.219 0.219 0.000 Si
0.281 0.719 0.500 Si
0.719 0.281 0.500 Si
0.781 0.781 0.000 Si
0.000 0.000 0.500 Se
0.500 0.500 0.000 Se
```

A plane-wave DFT calculation with SCAN was carried out for a crystal of AlCrRu2 relaxed with PBEsol.

Computed properties:
The formation energy comes out at -0.141 eV per atom. The magnetization comes out at 0.000 μB per atom. As for the total energy: -24.09 eV per atom.

The structure in POSCAR format:
```
AlCrRu2
1.0
2.893 0.000 0.000
0.000 2.893 0.000
0.000 0.000 6.150
Al Cr Ru
1 1 2
direct
0.000 0.000 0.000 Al
0.500 0.500 0.252 Cr
0.000 0.000 0.471 Ru
0.500 0.500 0.760 Ru
```

A plane-wave DFT calculation with SCAN was carried out for a crystal of TiCoSi relaxed with PBEsol.

Computed properties:
The magnetization comes out at 0.002 μB per atom. As for the total energy: -15.19 eV per atom. The calculation puts the formation energy without anion corrections at -742 meV/atom.

The structure in POSCAR format:
```
TiCoSi
1.0
5.951 0.000 0.000
-2.976 5.154 0.000
0.000 0.000 3.684
Ti Co Si
3 3 3
direct
0.000 0.435 0.000 Ti
0.435 0.000 0.000 Ti
0.565 0.565 0.000 Ti
0.000 0.758 0.500 Co
0.242 0.242 0.500 Co
0.758 0.000 0.500 Co
0.000 0.000 0.000 Si
0.333 0.667 0.500 Si
0.667 0.333 0.500 Si
```

A plane-wave DFT calculation with SCAN was carried out for a crystal of IrSe3N relaxed with PBEsol.

Computed properties:
The magnetization comes out at 0.161 μB per atom. As for the total energy: -26.65 eV per atom. The calculation puts the formation energy without anion corrections at 1475 meV/atom.

The structure in POSCAR format:
```
IrSe3N
1.0
4.864 0.000 0.000
0.000 4.864 0.000
0.000 0.000 4.864
Ir Se N
1 3 1
direct
0.000 0.000 0.000 Ir
0.000 0.000 0.500 Se
0.000 0.500 0.000 Se
0.500 0.000 0.000 Se
0.500 0.500 0.500 N
```

A plane-wave DFT calculation with SCAN was carried out for a crystal of GaSiTePd2 relaxed with PBEsol.

Computed properties:
The magnetization comes out at 0.000 μB per atom. As for the total energy: -25.11 eV per atom. The calculation puts the formation energy without anion corrections at 722 meV/atom.

The structure in POSCAR format:
```
GaSiTePd2
1.0
4.896 0.000 0.000
0.000 4.896 0.000
0.000 0.000 5.227
Ga Si Te Pd
1 1 1 2
direct
0.000 0.000 0.000 Ga
0.500 0.500 0.000 Si
0.500 0.500 0.500 Te
0.000 0.500 0.500 Pd
0.500 0.000 0.500 Pd
```

A plane-wave DFT calculation with SCAN was carried out for a crystal of PrAlO3 relaxed with PBEsol.

Computed properties:
The magnetization comes out at 0.000 μB per atom. As for the total energy: -17.57 eV per atom. The calculation puts the formation energy without anion corrections at -3617 meV/atom.

The structure in POSCAR format:
```
PrAlO3
1.0
3.750 0.000 0.000
0.000 3.750 0.000
0.000 0.000 3.750
Pr Al O
1 1 3
direct
0.000 0.000 0.000 Pr
0.500 0.500 0.500 Al
0.000 0.500 0.500 O
0.500 0.000 0.500 O
0.500 0.500 0.000 O
```